DFT (PBE) results for a relaxed ScBe2Cu9 crystal.

Summary:
As for the formation energy: -0.079 eV per atom.

Cell and atoms, written as CIF:
```
data_ScBe2Cu9
_chemical_formula_sum 'Sc4 Be8 Cu36'
_space_group_name_H-M_alt 'I 41/a m d'
_space_group_IT_number 141
_cell_length_a 9.771
_cell_length_b 9.771
_cell_length_c 6.226
_cell_angle_alpha 90.00
_cell_angle_beta 90.00
_cell_angle_gamma 90.00
loop_
_space_group_symop_operation_xyz
'x,y,z'
'-x,-y,-z'
'-y+1/4,x+3/4,z+1/4'
'y+1/4,-x+3/4,-z+1/4'
'-x+1/2,-y,z+1/2'
'x+1/2,y,-z+1/2'
'y+1/4,-x+1/4,z+3/4'
'-y+1/4,x+1/4,-z+3/4'
'x,-y,-z'
'-x,y,z'
'-y+1/4,-x+1/4,-z+3/4'
'y+1/4,x+1/4,z+3/4'
'-x+1/2,y,-z+1/2'
'x+1/2,-y,z+1/2'
'y+1/4,x+3/4,-z+1/4'
'-y+1/4,-x+3/4,z+1/4'
'x+1/2,y+1/2,z+1/2'
'-x+1/2,-y+1/2,-z+1/2'
'-y+3/4,x+1/4,z+3/4'
'y+3/4,-x+1/4,-z+3/4'
'-x,-y+1/2,z'
'x,y+1/2,-z'
'y+3/4,-x+3/4,z+1/4'
'-y+3/4,x+3/4,-z+1/4'
'x+1/2,-y+1/2,-z+1/2'
'-x+1/2,y+1/2,z+1/2'
'-y+3/4,-x+3/4,-z+1/4'
'y+3/4,x+3/4,z+1/4'
'-x,y+1/2,-z'
'x,-y+1/2,z'
'y+3/4,x+1/4,-z+3/4'
'-y+3/4,-x+1/4,z+3/4'
loop_
_atom_site_label
_atom_site_type_symbol
_atom_site_fract_x
_atom_site_fract_y
_atom_site_fract_z
_atom_site_occupancy
Sc1 Sc 0.000 0.250 0.375 1
Be1 Be 0.000 0.000 0.000 1
Cu1 Cu 0.000 0.250 0.875 1
Cu2 Cu 0.122 0.050 0.685 1
```